No. 1
A plane-wave DFT calculation with GGA-PBE was carried out for an optimized crystal structure of Y2Cd8Ag.

The space group is C2/m (No. 12) and the conventional cell measures 17.428, 4.684 and 6.513 Å, with angles of 90.00, 103.57 and 90.00 degrees. The inequivalent atoms are Y at (0.219, 0.000, 0.184), Cd at (0.025, 0.000, 0.232), Cd at (0.100, 0.500, 0.919), Cd at (0.144, 0.500, 0.381), Cd at (0.151, 0.000, 0.669) and Ag at (0.000, 0.500, 0.500).

The value obtained for the energy of formation from the pure elements is -0.176 eV/atom. Its spin magnetization is 0.000 μB/f.u. The value obtained for the total DFT energy (no corrections) is -2.2762 eV/atom. The value obtained for the calculated volume is 23.50 Å³ per atom.

***

No. 2
A plane-wave DFT calculation with GGA-PBE was carried out for an optimized crystal structure of SrAcNi10.

The space group is Pmmm (No. 47) and the conventional cell measures 3.961, 5.078 and 8.799 Å, with angles of 90.00, 90.00 and 90.00 degrees. The inequivalent atoms are Sr at (0.000, 0.000, 0.000), Ac at (0.000, 0.500, 0.500), Ni at (0.000, 0.000, 0.332), Ni at (0.000, 0.500, 0.166), Ni at (0.500, 0.000, 0.500), Ni at (0.500, 0.251, 0.249) and Ni at (0.500, 0.500, 0.000).

The value obtained for the energy of formation from the pure elements is -0.113 eV/atom. Its spin magnetization is 3.677 μB/f.u. The value obtained for the total DFT energy (no corrections) is -5.4133 eV/atom. The value obtained for the calculated volume is 14.75 Å³ per atom.

***

No. 3
A plane-wave DFT calculation with GGA-PBE was carried out for an optimized crystal structure of KMnGa2Au.

The space group is P4/mmm (No. 123) and the conventional cell measures 5.627, 5.627 and 5.463 Å, with angles of 90.00, 90.00 and 90.00 degrees. The inequivalent atoms are K at (0.000, 0.000, 0.000), Mn at (0.500, 0.500, 0.500), Ga at (0.000, 0.500, 0.000) and Au at (0.000, 0.000, 0.500).

The value obtained for the energy of formation from the pure elements is 1.330 eV/atom. Its spin magnetization is 4.038 μB/f.u. The value obtained for the total DFT energy (no corrections) is -2.5900 eV/atom. The value obtained for the calculated volume is 34.60 Å³ per atom.